Co2SnRhO6: relaxed, PBE+U.

```
Co2SnRhO6
1.0
2.592 1.497 4.617
-2.592 1.497 4.617
0.000 -2.994 4.617
Co Sn Rh O
2 1 1 6
direct
0.000 0.000 0.000 Co
0.481 0.481 0.481 Co
0.201 0.201 0.201 Sn
0.686 0.686 0.686 Rh
0.087 0.795 0.381 O
0.269 0.621 0.892 O
0.381 0.087 0.795 O
0.621 0.892 0.269 O
0.795 0.381 0.087 O
0.892 0.269 0.621 O
```

Calculated values
* VASP energy: -6.189 eV per atom
* crystal system: trigonal